No. 1
First-principles (GGA-PBE) data for a geometry-optimized LiThInI6 structure, as listed in the Alexandria database.

Unit cell a=7.8385 b=7.8385 c=15.2884 alpha=90.00 beta=90.00 gamma=120.00
Element x y z (fractional)
Li: 0.3333 0.6667 0.2500
Li: 0.6667 0.3333 0.7500
Th: 0.6667 0.3333 0.2500
Th: 0.3333 0.6667 0.7500
In: 0.0000 0.0000 0.0000
In: 0.0000 0.0000 0.5000
I: 0.6366 0.6401 0.1346
I: 0.0035 0.3634 0.1346
I: 0.3634 0.0035 0.6346
I: 0.9965 0.6366 0.8654
I: 0.3599 0.3634 0.3654
I: 0.0035 0.6401 0.3654
I: 0.6401 0.0035 0.8654
I: 0.6366 0.9965 0.3654
I: 0.9965 0.3599 0.6346
I: 0.3599 0.9965 0.1346
I: 0.6401 0.6366 0.6346
I: 0.3634 0.3599 0.8654

Summary:
As for the density of states at the Fermi level: 0.0 states/eV/cell. The electronic total energy comes out at -3.42 eV per atom. Its space group is P-31c, No. 163. The raw formation energy comes out at -1047 meV/atom. The density is 4553 kg/m3.


No. 2
First-principles (GGA-PBE) data for a geometry-optimized LiTiIn2I6 structure, as listed in the Alexandria database.

Unit cell a=8.0919 b=8.1069 c=8.1275 alpha=60.00 beta=60.10 gamma=60.02
Last column: magnetic moment on the atom in μB.
Element x y z (fractional)
Li: 0.8099 0.8118 0.5690  0.00
Ti: 0.3232 0.3234 0.0300  0.97
In: 0.5382 0.5381 0.3852  0.00
In: 0.0287 0.0279 0.9153  -0.01
I: 0.5664 0.1636 0.2644  -0.02
I: 0.1634 0.0056 0.2655  -0.02
I: 0.0064 0.5650 0.2647  -0.02
I: 0.4782 0.6515 0.7728  -0.02
I: 0.6511 0.0967 0.7743  -0.02
I: 0.0961 0.4781 0.7740  -0.02

Summary:
As for the density of states at the Fermi level: 6.4 states/eV/cell. The electronic total energy comes out at -3.13 eV per atom. Its space group is P1, No. 1. The raw formation energy comes out at -675 meV/atom. The density is 4602 kg/m3.


No. 3
First-principles (GGA-PBE) data for a geometry-optimized LiTiInI6 structure, as listed in the Alexandria database.

Unit cell a=7.4779 b=7.4778 c=7.2444 alpha=90.00 beta=89.99 gamma=59.99
Last column: magnetic moment on the atom in μB.
Element x y z (fractional)
Li: 0.6666 0.6666 0.5000  0.00
Ti: 0.3333 0.3333 0.5000  0.13
In: 0.0000 0.0000 0.0000  0.00
I: 0.0186 0.3599 0.2776  -0.01
I: 0.3599 0.0186 0.7223  -0.01
I: 0.6215 0.3599 0.7223  -0.01
I: 0.0184 0.6216 0.7223  -0.01
I: 0.3599 0.6215 0.2777  -0.01
I: 0.6216 0.0185 0.2777  -0.01

Summary:
The electronic total energy comes out at -3.16 eV per atom. Its space group is P312, No. 149. The raw formation energy comes out at -735 meV/atom. The density is 4407 kg/m3.


No. 4
First-principles (GGA-PBE) data for a geometry-optimized LiTl2In3I6 structure, as listed in the Alexandria database.

Unit cell a=8.4247 b=8.4247 c=8.4163 alpha=99.69 beta=99.69 gamma=119.21
Element x y z (fractional)
Li: 0.0000 0.0000 0.0000
Tl: 0.3341 0.6659 0.0000
Tl: 0.6659 0.3341 0.0000
In: 0.1703 0.8297 0.5000
In: 0.8297 0.1703 0.5000
In: 0.5000 0.5000 0.5000
I: 0.9263 0.6292 0.7741
I: 0.7752 0.7752 0.2535
I: 0.0737 0.3708 0.2259
I: 0.6292 0.9263 0.7741
I: 0.2248 0.2248 0.7465
I: 0.3708 0.0737 0.2259

Summary:
As for the density of states at the Fermi level: 0.0 states/eV/cell. The electronic total energy comes out at -2.64 eV per atom. Its space group is C2/m, No. 12. The raw formation energy comes out at -628 meV/atom. The density is 5139 kg/m3.


No. 5
First-principles (GGA-PBE) data for a geometry-optimized Li2TlInI6 structure, as listed in the Alexandria database.

Unit cell a=7.7491 b=7.7500 c=8.4866 alpha=62.84 beta=62.83 gamma=59.99
Element x y z (fractional)
Li: 0.5089 0.5088 0.4738
Li: 0.0023 0.0025 0.9925
Tl: 0.8137 0.8136 0.5591
In: 0.3265 0.3264 0.0205
I: 0.5823 0.2626 0.2303
I: 0.2626 0.9248 0.2303
I: 0.9247 0.5824 0.2303
I: 0.3564 0.7367 0.7595
I: 0.7368 0.1474 0.7594
I: 0.1474 0.3563 0.7594

Summary:
The electronic total energy comes out at -2.58 eV per atom. Its space group is R3, No. 146. The raw formation energy comes out at -757 meV/atom. The density is 4846 kg/m3.


No. 6
First-principles (GGA-PBE) data for a geometry-optimized LiTlIn2I4 structure, as listed in the Alexandria database.

Unit cell a=4.8106 b=8.3648 c=8.3868 alpha=71.05 beta=90.00 gamma=90.00
Element x y z (fractional)
Li: 0.0000 0.5000 0.5000
Tl: 0.5000 0.5000 0.0000
In: 0.0000 0.0000 0.0000
In: 0.5000 0.0000 0.5000
I: 0.0000 0.7306 0.7261
I: 0.0000 0.2695 0.2739
I: 0.5000 0.7276 0.2748
I: 0.5000 0.2724 0.7252

Summary:
As for the density of states at the Fermi level: 0.0 states/eV/cell. The electronic total energy comes out at -2.65 eV per atom. Its space group is P2/m, No. 10. The raw formation energy comes out at -652 meV/atom. The density is 4935 kg/m3.


No. 7
First-principles (GGA-PBE) data for a geometry-optimized Li2TlIn3I6 structure, as listed in the Alexandria database.

Unit cell a=4.7445 b=9.6558 c=10.5710 alpha=103.39 beta=102.97 gamma=90.00
Element x y z (fractional)
Li: 0.8242 0.6684 0.6485
Li: 0.1758 0.3316 0.3515
Tl: 0.5000 0.0000 0.0000
In: 0.5000 0.5000 0.0000
In: 0.8372 0.1770 0.6744
In: 0.1628 0.8230 0.3256
I: 0.3248 0.8847 0.6496
I: 0.6786 0.5724 0.3571
I: 0.6752 0.1153 0.3504
I: 0.0288 0.2678 0.0576
I: 0.9712 0.7322 0.9424
I: 0.3214 0.4276 0.6429

Summary:
As for the density of states at the Fermi level: 0.0 states/eV/cell. The electronic total energy comes out at -2.68 eV per atom. Its space group is C2/m, No. 12. The raw formation energy comes out at -703 meV/atom. The density is 4797 kg/m3.


No. 8
First-principles (GGA-PBE) data for a geometry-optimized Li2TlInI structure, as listed in the Alexandria database.

Unit cell a=5.4861 b=5.8825 c=5.4861 alpha=90.00 beta=90.00 gamma=90.00
Last column: magnetic moment on the atom in μB.
Element x y z (fractional)
I: 0.5000 0.5000 0.5000  0.10
Tl: 0.0000 0.5000 0.0000  0.02
Li: 0.0000 0.0000 0.5000  0.10
Li: 0.5000 0.0000 0.0000  0.07
In: 0.0000 0.0000 0.0000  0.35

Summary:
As for the density of states at the Fermi level: 1.5 states/eV/cell. The electronic total energy comes out at -2.12 eV per atom. Its space group is P4/mmm, No. 123. The raw formation energy comes out at -22 meV/atom. The density is 4314 kg/m3.


No. 9
First-principles (GGA-PBE) data for a geometry-optimized Li2Tl3InI6 structure, as listed in the Alexandria database.

Unit cell a=4.7647 b=9.7355 c=10.6268 alpha=104.66 beta=102.95 gamma=90.00
Element x y z (fractional)
Li: 0.8256 0.6303 0.6511
Li: 0.1744 0.3697 0.3489
Tl: 0.5000 0.5000 0.0000
Tl: 0.8378 0.1624 0.6756
Tl: 0.1622 0.8376 0.3244
In: 0.5000 0.0000 0.0000
I: 0.3283 0.8956 0.6565
I: 0.6789 0.5642 0.3578
I: 0.6717 0.1044 0.3435
I: 0.0262 0.2631 0.0524
I: 0.9738 0.7369 0.9476
I: 0.3211 0.4358 0.6422

Summary:
As for the density of states at the Fermi level: 0.0 states/eV/cell. The electronic total energy comes out at -2.69 eV per atom. Its space group is C2/m, No. 12. The raw formation energy comes out at -773 meV/atom. The density is 5381 kg/m3.


No. 10
First-principles (GGA-PBE) data for a geometry-optimized LiTlIn2I8 structure, as listed in the Alexandria database.

Unit cell a=7.5796 b=7.5796 c=10.5761 alpha=90.00 beta=90.00 gamma=120.00
Element x y z (fractional)
Li: 0.0000 0.0000 0.5000
Tl: 0.0000 0.0000 0.0000
In: 0.6667 0.3333 0.2535
In: 0.3333 0.6667 0.7465
I: 0.3333 0.6667 0.0071
I: 0.3069 0.3158 0.3249
I: 0.6842 0.9911 0.3249
I: 0.6667 0.3333 0.9929
I: 0.3158 0.0089 0.6751
I: 0.6931 0.6842 0.6751
I: 0.9911 0.3069 0.6751
I: 0.0089 0.6931 0.3249

Summary:
As for the density of states at the Fermi level: 0.0 states/eV/cell. The electronic total energy comes out at -2.47 eV per atom. Its space group is P-3, No. 147. The raw formation energy comes out at -620 meV/atom. The density is 4595 kg/m3.


No. 11
First-principles (GGA-PBE) data for a geometry-optimized LiTl2InI5 structure, as listed in the Alexandria database.

Unit cell a=5.3102 b=10.2968 c=14.3388 alpha=90.00 beta=90.00 gamma=104.94
Element x y z (fractional)
Li: 0.7815 0.5629 0.5724
Li: 0.2185 0.4371 0.0724
Tl: 0.8707 0.7415 0.8469
Tl: 0.1309 0.2618 0.6798
Tl: 0.1293 0.2585 0.3469
Tl: 0.8691 0.7382 0.1798
In: 0.5700 0.1400 0.9403
In: 0.4300 0.8600 0.4403
I: 0.3505 0.7009 0.0109
I: 0.6952 0.3904 0.8323
I: 0.4875 0.9749 0.7724
I: 0.2983 0.5966 0.6459
I: 0.9429 0.8858 0.5230
I: 0.6495 0.2991 0.5109
I: 0.3048 0.6096 0.3323
I: 0.5125 0.0251 0.2724
I: 0.7017 0.4034 0.1459
I: 0.0571 0.1142 0.0230

Summary:
As for the density of states at the Fermi level: 2.7 states/eV/cell. The electronic total energy comes out at -2.57 eV per atom. Its space group is Cmc2_1, No. 36. The raw formation energy comes out at -662 meV/atom. The density is 5108 kg/m3.


No. 12
First-principles (GGA-PBE) data for a geometry-optimized Li2TmInI6 structure, as listed in the Alexandria database.

Unit cell a=7.7966 b=7.7960 c=8.4813 alpha=62.63 beta=62.63 gamma=59.99
Element x y z (fractional)
Li: 0.5100 0.5103 0.4702
Li: 0.0027 0.0030 0.9909
Tm: 0.3261 0.3260 0.0217
In: 0.8138 0.8137 0.5589
I: 0.5862 0.2595 0.2343
I: 0.2596 0.9199 0.2343
I: 0.9200 0.5862 0.2343
I: 0.3584 0.7387 0.7568
I: 0.7388 0.1460 0.7568
I: 0.1461 0.3583 0.7570

Summary:
As for the density of states at the Fermi level: 0.0 states/eV/cell. The electronic total energy comes out at -3.12 eV per atom. Its space group is R3, No. 146. The raw formation energy comes out at -1086 meV/atom. The density is 4649 kg/m3.


In order of appearance, total moment = 0.00 1.00 0.09 0.00 0.00 0.00 0.00 1.65 0.00 0.00 0.00 0.00 Bohr magnetons per cell.